Material: GdAl2Hg
Method: DFT, PBE
State: relaxed

a = 4.6553 Å, b = 6.6024 Å, c = 6.6024 Å
α = 57.62°, β = 90.00°, γ = 90.00°
With the nearest neighbours (Å) after each atom.
Atoms (fractional coordinates):
Gd 0.0000 0.0000 0.0000  8 Al 3.15-3.20, 4 Hg 3.30-3.31
Gd 0.5000 0.3550 0.3550  4 Hg 3.08, 8 Al 3.08-3.43
Al 0.0000 0.5295 0.5295  4 Al 2.84, 2 Hg 2.99, 2 Gd 3.08
Al 0.5000 0.3799 0.8220  4 Al 2.81-2.84, 2 Hg 2.90
Al 0.5000 0.8122 0.8122  2 Al 2.82, 4 Hg 2.91
Al 0.5000 0.8220 0.3799  4 Al 2.81-2.84, 2 Hg 2.90
Hg 0.0000 0.5005 0.9975  5 Al 2.90-2.99, 2 Gd 3.08, 2 Hg 3.16-3.20
Hg 0.0000 0.9975 0.5005  5 Al 2.90-2.99, 2 Gd 3.08, 2 Hg 3.16-3.20

Values from the calculation:
calculated density	8.0	g cm⁻³
E	-3.470	eV per atom
symmetry	Amm2